VASP calculation (GGA-PBE) on a geometry-optimized SmYSi3Au structure.

The space group is Fmmm (No. 69) and the conventional cell measures 8.2503, 8.3434 and 14.2294 Å, with angles of 90.00, 90.00 and 90.00 degrees. The asymmetric unit holds Sm at (0.2500, 0.2500, 0.2500), Y at (0.0000, 0.2421, 0.0000), Si at (0.0000, 0.0000, 0.1633), Si at (0.2462, 0.0000, 0.0816) and Au at (0.0000, 0.0000, 0.3345).

The value obtained for the volume is 122.4 Å³/f.u. The value obtained for the energy relative to the lowest polymorph listed for this composition is 0.006 eV per atom.

---

VASP calculation (GGA-PBE) on a geometry-optimized DyTmZr2Sb2 structure.

The space group is I4mm (No. 107) and the conventional cell measures 4.2658, 4.2658 and 16.5293 Å, with angles of 90.00, 90.00 and 90.00 degrees. The asymmetric unit holds Dy at (0.0000, 0.0000, 0.0000), Tm at (0.0000, 0.0000, 0.3529), Zr at (0.0000, 0.5000, 0.1773), Sb at (0.0000, 0.0000, 0.5428) and Sb at (0.0000, 0.0000, 0.8110).

The value obtained for the volume is 150.4 Å³/f.u. The value obtained for the electronic total energy is -6.519 eV/atom.

---

VASP calculation (GGA-PBE) on a geometry-optimized HfUCd structure.

The space group is F-43m (No. 216) and the conventional cell measures 6.8370, 6.8370 and 6.8370 Å, with angles of 90.00, 90.00 and 90.00 degrees. The asymmetric unit holds Hf at (0.0000, 0.0000, 0.0000), U at (0.2500, 0.2500, 0.2500) and Cd at (0.2500, 0.2500, 0.7500).

The value obtained for the volume is 79.9 Å³/f.u. The value obtained for the energy relative to the lowest polymorph listed for this composition is 0.000 eV per atom. Its formation energy from the elements is 3.20 eV/f.u.

---

VASP calculation (GGA-PBE) on a geometry-optimized Be2BPt structure.

The space group is F-43m (No. 216) and the conventional cell measures 5.3401, 5.3401 and 5.3401 Å, with angles of 90.00, 90.00 and 90.00 degrees. The asymmetric unit holds Be at (0.0000, 0.0000, 0.0000), Be at (0.2500, 0.2500, 0.2500), B at (0.0000, 0.0000, 0.5000) and Pt at (0.2500, 0.2500, 0.7500).

The value obtained for the volume is 38.1 Å³/f.u. The value obtained for the electronic total energy is -5.017 eV/atom.

---

VASP calculation (GGA-PBE) on a geometry-optimized NdTaPb structure.

The space group is F-43m (No. 216) and the conventional cell measures 7.0269, 7.0269 and 7.0269 Å, with angles of 90.00, 90.00 and 90.00 degrees. The asymmetric unit holds Nd at (0.0000, 0.0000, 0.0000), Ta at (0.0000, 0.0000, 0.5000) and Pb at (0.2500, 0.2500, 0.2500).

The value obtained for the volume is 86.7 Å³/f.u. The value obtained for the electronic total energy is -6.091 eV/atom.

---

VASP calculation (GGA-PBE) on a geometry-optimized AgBi2Pb structure.

The space group is F-43m (No. 216) and the conventional cell measures 7.6842, 7.6842 and 7.6842 Å, with angles of 90.00, 90.00 and 90.00 degrees. The asymmetric unit holds Ag at (0.0000, 0.0000, 0.0000), Bi at (0.0000, 0.0000, 0.5000), Bi at (0.2500, 0.2500, 0.2500) and Pb at (0.2500, 0.2500, 0.7500).

The value obtained for the volume is 113.4 Å³/f.u. The value obtained for the electronic total energy is -3.500 eV/atom.